Record 1
ReCO2F: PBEsol geometry, SCAN.

Cell lengths 3.771, 3.771, 4.083 Å; angles 90.00, 90.00, 90.00 degrees
Element x y z (fractional)
1 C 0.500 0.500 0.500
2 Re 0.000 0.000 0.000
3 O 0.000 0.500 0.000
4 F 0.000 0.000 0.500
5 O 0.500 0.000 0.000

space group	P4/mmm, No. 123

***

Record 2
FeCuO2: PBEsol geometry, SCAN.

Cell lengths 2.767, 2.767, 5.984 Å; angles 76.63, 76.63, 60.00 degrees
Element x y z (fractional)
1 Cu 0.000 0.000 0.000
2 O 0.893 0.893 0.320
3 Fe 0.500 0.500 0.500
4 O 0.107 0.107 0.680

space group	R-3m, No. 166

***

no.,E_form (uncorrected) (meV per atom),total magnetic moment (μB per atom),total DFT energy (no corrections) (eV/atom)
1,230,0.414,-19.210
2,-1182,0.250,-12.629